A geometry-optimized LiCaLa2Ru structure. Source: Alexandria via LeMat-Bulk, functional PBE-GGA.

Results
As for the size of the total moment: 0.0000 μB/atom. As for the total energy: -23.5 eV/f.u.

abc: 5.407 5.407 5.877
angles: 90.00 90.00 90.00
Space group P4/mmm (No. 123)
Unique sites:
Li: 0.000 0.000 0.000
Ca: 0.500 0.500 0.000
La: 0.000 0.500 0.500
Ru: 0.500 0.500 0.500

A geometry-optimized PmCdRh2 structure. Source: Alexandria via LeMat-Bulk, functional PBE-GGA.

Results
As for the size of the total moment: 0.0000 μB/atom. As for the total energy: -22.0 eV/f.u.

abc: 3.434 3.434 6.497
angles: 90.00 90.00 90.00
Space group P4/mmm (No. 123)
Unique sites:
Pm: 0.000 0.000 0.000
Cd: 0.000 0.000 0.500
Rh: 0.500 0.500 0.266

A geometry-optimized Li3ZnCu3 structure. Source: Alexandria via LeMat-Bulk, functional PBE-GGA.

Results
As for the size of the total moment: 0.0000 μB/atom. As for the total energy: -19.8 eV/f.u.

abc: 7.0337 7.0337 4.3123
angles: 90.00 90.00 120.00
Space group P6_3/m (No. 176)
Unique sites:
Li: 0.0870 0.6278 0.2500
Zn: 0.3333 0.6667 0.7500
Cu: 0.0537 0.8213 0.7500